## i
A plane-wave DFT calculation with PBE-GGA was carried out for an optimized crystal structure of NbTlPS2.

abc: 4.863 4.863 4.965
angles: 90.00 90.00 90.00
Fractional coordinates of all 5 atoms:
S 0.000 0.500 0.000
S 0.500 0.000 0.000
Tl 0.500 0.500 0.500
Nb 0.000 0.000 0.000
P 0.000 0.000 0.500

Values from the calculation:
The symmetry is P4/mmm.

## ii
A plane-wave DFT calculation with PBE-GGA was carried out for an optimized crystal structure of NbTlPS2.

abc: 5.009 5.009 4.985
angles: 90.00 90.00 90.00
Last column: magnetic moment on the atom in μB.
Fractional coordinates of all 5 atoms:
P 0.000 0.000 0.500  -0.31
Nb 0.500 0.500 0.500  2.34
S 0.000 0.500 0.000  -0.19
S 0.500 0.000 0.000  -0.19
Tl 0.000 0.000 0.000  -0.01

Values from the calculation:
The symmetry is P4/mmm.

Ranking the structures above by energy, i is first and the second is 152.4 kJ/mol of atoms behind.